[1]
In2AgSe | PBE | relaxed

Output
* total DFT energy (no corrections): -12.01 eV per cell
* SG: No. 123
* energy relative to the elements, uncorrected: -0.05 eV/atom

a b c (Å): 3.636 3.636 7.032
angles (deg): 90.00 90.00 90.00
Positions (direct):
In 0.000 0.000 0.248
In 0.000 0.000 0.752
Ag 0.500 0.500 0.500
Se 0.500 0.500 0.000

[2]
ScAl2Co2 | PBE | relaxed

Output
* formation enthalpy at 0 K: -8.47 kcal/mol of atoms
* total DFT energy (no corrections): -59.73 eV per cell
* SG: No. 139
* relative energy among the computed polymorphs: 0.086 eV/atom

a b c (Å): 10.239 10.239 10.239
angles (deg): 157.87 157.87 31.50
Positions (direct):
Sc 0.134 0.134 0.000
Sc 0.866 0.866 0.000
Al 0.000 0.500 0.500
Al 0.313 0.313 0.000
Al 0.500 0.000 0.500
Al 0.687 0.687 0.000
Co 0.250 0.750 0.500
Co 0.432 0.432 0.000
Co 0.568 0.568 0.000
Co 0.750 0.250 0.500

[3]
AcCeGd | PBE | relaxed

Output
* formation enthalpy at 0 K: 2.60 kcal/mol of atoms
* total DFT energy (no corrections): -23.78 eV per cell
* SG: No. 107
* relative energy among the computed polymorphs: 0.000 eV/atom

a b c (Å): 8.174 8.174 8.174
angles (deg): 153.85 153.85 37.31
Positions (direct):
Ac 0.000 0.000 0.000
Ce 0.666 0.666 0.000
Gd 0.319 0.319 0.000

[4]
CaFe2NiH | PBE | relaxed

Output
* total DFT energy (no corrections): -16.12 eV per cell
* SG: No. 123

a b c (Å): 4.884 4.884 4.562
angles (deg): 90.00 90.00 90.00
Positions (direct):
Ca 0.000 0.000 0.000
Fe 0.000 0.500 0.000
Fe 0.500 0.000 0.000
Ni 0.000 0.000 0.500
H 0.500 0.500 0.500

[5]
YGePt2 | PBE | relaxed

Output
* formation enthalpy at 0 K: -20.02 kcal/mol of atoms
* total DFT energy (no corrections): -26.64 eV per cell
* SG: No. 166

a b c (Å): 5.376 5.376 5.376
angles (deg): 47.96 47.96 47.96
Positions (direct):
Y 0.000 0.000 0.000
Ge 0.500 0.500 0.500
Pt 0.213 0.213 0.213
Pt 0.787 0.787 0.787

[6]
PmAsPd2 | PBE | relaxed

Output
* formation enthalpy at 0 K: -17.15 kcal/mol of atoms
* total DFT energy (no corrections): -22.76 eV per cell
* SG: No. 166

a b c (Å): 5.411 5.411 5.411
angles (deg): 48.18 48.18 48.18
Positions (direct):
Pm 0.000 0.000 0.000
As 0.500 0.500 0.500
Pd 0.214 0.214 0.214
Pd 0.786 0.786 0.786

[7]
CsLaSe2 | PBE | relaxed

Output
* total DFT energy (no corrections): -38.59 eV per cell
* SG: No. 9
* energy relative to the elements, uncorrected: -1.64 eV/atom

a b c (Å): 7.019 7.019 8.224
angles (deg): 115.17 115.17 90.16
Positions (direct):
Cs 0.125 0.875 0.500
Cs 0.875 0.125 0.000
La 0.352 0.601 0.000
La 0.601 0.352 0.500
Se 0.229 0.414 0.565
Se 0.414 0.229 0.065
Se 0.598 0.913 0.435
Se 0.913 0.598 0.935

[8]
LiCd2GaCl | PBE | relaxed

Output
* total DFT energy (no corrections): -9.46 eV per cell
* SG: No. 123
* energy relative to the elements, uncorrected: -0.17 eV/atom

a b c (Å): 5.566 5.566 4.307
angles (deg): 90.00 90.00 90.00
Positions (direct):
Li 0.000 0.000 0.000
Cd 0.000 0.500 0.000
Cd 0.500 0.000 0.000
Ga 0.500 0.500 0.500
Cl 0.000 0.000 0.500